1.
## HfFeTe3 (PBE)

Data for a relaxed structure of HfFeTe3.

Cell: 5.0027 5.0027 5.0027 Å, 90.00 90.00 90.00°
Closest atoms and distances in Å follow each position.
Sites, in units of the cell vectors:
Hf 0.0000 0.0000 0.0000  12 Te 3.54
Fe 0.5000 0.5000 0.5000  6 Te 2.50
Te 0.0000 0.5000 0.5000  2 Fe 2.50
Te 0.5000 0.0000 0.5000  2 Fe 2.50
Te 0.5000 0.5000 0.0000  2 Fe 2.50

## Properties
ΔE_f (raw)	0.492	eV/atom

2.
## Pr4Tl2Hg (PBE)

Data for a relaxed structure of Pr4Tl2Hg.

Cell: 7.6904 7.6904 7.8031 Å, 90.00 90.00 90.00°
Closest atoms and distances in Å follow each position.
Sites, in units of the cell vectors:
Pr 0.2500 0.2500 0.2500  2 Hg 3.35, 4 Tl 3.35
Pr 0.2500 0.2500 0.7500  2 Hg 3.35, 4 Tl 3.35
Pr 0.2500 0.7500 0.2500  2 Hg 3.35, 4 Tl 3.35
Pr 0.2500 0.7500 0.7500  4 Tl 3.35, 2 Hg 3.35
Pr 0.7500 0.2500 0.2500  2 Hg 3.35, 4 Tl 3.35
Pr 0.7500 0.2500 0.7500  4 Tl 3.35, 2 Hg 3.35
Pr 0.7500 0.7500 0.2500  2 Hg 3.35, 4 Tl 3.35
Pr 0.7500 0.7500 0.7500  4 Tl 3.35, 2 Hg 3.35
Tl 0.0000 0.5000 0.0000  8 Pr 3.35
Tl 0.0000 0.5000 0.5000  8 Pr 3.35
Tl 0.5000 0.0000 0.0000  8 Pr 3.35
Tl 0.5000 0.0000 0.5000  8 Pr 3.35
Hg 0.0000 0.0000 0.0000  8 Pr 3.35
Hg 0.5000 0.5000 0.5000  8 Pr 3.35

## Properties
energy of formation	-0.290	eV per atom

3.
## Tb2CeLu (PBE)

Data for a relaxed structure of Tb2CeLu.

Cell: 4.9628 4.9628 25.0491 Å, 90.00 90.00 120.00°
Closest atoms and distances in Å follow each position.
Sites, in units of the cell vectors:
Tb 0.0000 0.0000 0.1216  1 Ce 3.05, 3 Lu 3.08
Tb 0.0000 0.0000 0.8784  1 Ce 3.05, 3 Lu 3.08
Tb 0.3333 0.6667 0.5451  1 Ce 3.05, 3 Lu 3.08
Tb 0.3333 0.6667 0.7882  1 Ce 3.05, 3 Lu 3.08
Tb 0.6667 0.3333 0.2118  1 Ce 3.05, 3 Lu 3.08
Tb 0.6667 0.3333 0.4549  1 Ce 3.05, 3 Lu 3.08
Ce 0.0000 0.0000 0.0000  2 Tb 3.05
Ce 0.3333 0.6667 0.6667  2 Tb 3.05
Ce 0.6667 0.3333 0.3333  2 Tb 3.05
Lu 0.0000 0.0000 0.5000  6 Tb 3.08
Lu 0.3333 0.6667 0.1667  6 Tb 3.08
Lu 0.6667 0.3333 0.8333  6 Tb 3.08

## Properties
polymorph energy (0 for the lowest one)	1341	meV/atom
energy of formation	1.404	eV per atom

4.
## Ca2TlSe (PBE)

Data for a relaxed structure of Ca2TlSe.

Cell: 3.7397 3.8689 16.8575 Å, 90.00 90.00 90.00°
Closest atoms and distances in Å follow each position.
Sites, in units of the cell vectors:
Ca 0.0000 0.0000 0.0000  4 Se 2.98
Ca 0.0000 0.5000 0.2119  2 Se 2.96
Ca 0.5000 0.0000 0.7119  2 Se 2.96
Ca 0.5000 0.5000 0.5000  4 Se 2.98
Tl 0.0000 0.5000 0.8353  6 Ca 3.38-3.40, 2 Tl 3.74
Tl 0.5000 0.0000 0.3353  6 Ca 3.38-3.40, 2 Tl 3.74
Se 0.0000 0.0000 0.5760  6 Ca 2.96-2.98
Se 0.5000 0.5000 0.0760  6 Ca 2.96-2.98

## Properties
polymorph energy (0 for the lowest one)	133	meV/atom
ΔE_f (raw)	-0.965	eV/atom

5.
## K3SnBi2 (PBE)

Data for a relaxed structure of K3SnBi2.

Cell: 9.8585 9.8585 9.8854 Å, 100.85 100.85 34.18°
Closest atoms and distances in Å follow each position.
Sites, in units of the cell vectors:
K 0.0629 0.0629 0.1898  3 Bi 3.37-3.55
K 0.1885 0.1885 0.5498  3 Bi 3.37-3.54
K 0.3183 0.3183 0.9452  4 Bi 3.66-4.05, 1 Sn 3.75, 2 K 4.04
K 0.6817 0.6817 0.0548  4 Bi 3.66-4.05, 1 Sn 3.75, 2 K 4.04
K 0.8115 0.8115 0.4502  3 Bi 3.37-3.54
K 0.9371 0.9371 0.8102  3 Bi 3.37-3.55
Sn 0.4307 0.4307 0.3030  4 Bi 3.07-3.27
Sn 0.5693 0.5693 0.6970  4 Bi 3.07-3.27
Bi 0.1183 0.1183 0.8377  2 Sn 3.27, 2 K 3.37
Bi 0.4030 0.4030 0.5991  2 Sn 3.07-3.09
Bi 0.5970 0.5970 0.4009  2 Sn 3.07-3.09
Bi 0.8817 0.8817 0.1623  2 Sn 3.27, 2 K 3.37

## Properties
polymorph energy (0 for the lowest one)	43	meV/atom
energy of formation	-0.255	eV per atom

6.
## TbNdHo4 (PBE)

Data for a relaxed structure of TbNdHo4.

Cell: 17.3033 3.5799 6.2044 Å, 90.00 96.79 90.00°
Closest atoms and distances in Å follow each position.
Sites, in units of the cell vectors:
Tb 0.0000 0.0000 0.0000  6 Ho 3.55, 2 Tb 3.58, 4 Nd 3.58
Tb 0.5000 0.5000 0.0000  6 Ho 3.55, 2 Tb 3.58, 4 Nd 3.58
Nd 0.0000 0.5000 0.5000  6 Ho 3.55, 2 Nd 3.58, 4 Tb 3.58
Nd 0.5000 0.0000 0.5000  6 Ho 3.55, 2 Nd 3.58, 4 Tb 3.58
Ho 0.1677 0.0000 0.3887  9 Ho 3.49-3.58, 2 Nd 3.55, 1 Tb 3.55
Ho 0.1681 0.5000 0.8890  9 Ho 3.49-3.58, 2 Tb 3.55, 1 Nd 3.55
Ho 0.3319 0.0000 0.1110  9 Ho 3.49-3.58, 2 Tb 3.55, 1 Nd 3.55
Ho 0.3323 0.5000 0.6113  9 Ho 3.49-3.58, 2 Nd 3.55, 1 Tb 3.55
Ho 0.6681 0.0000 0.8890  9 Ho 3.49-3.58, 2 Tb 3.55, 1 Nd 3.55
Ho 0.6677 0.5000 0.3887  9 Ho 3.49-3.58, 2 Nd 3.55, 1 Tb 3.55
Ho 0.8323 0.0000 0.6113  9 Ho 3.49-3.58, 2 Nd 3.55, 1 Tb 3.55
Ho 0.8319 0.5000 0.1110  9 Ho 3.49-3.58, 2 Tb 3.55, 1 Nd 3.55

## Properties
polymorph energy (0 for the lowest one)	0	meV/atom
energy of formation	-0.007	eV per atom

The evaluated density of states at the Fermi level for the records listed, in turn: 5.8 14.5 38.5 5.8 1.0 14.6 states/eV per cell.
The evaluated V for the records listed, in turn: 25.04 32.96 44.52 30.49 44.10 31.80 A^3/atom.